CuIrRuRh | PBE-GGA | relaxed

Cell: 6.096 6.096 6.096 Å, 90.00 90.00 90.00°
Space group F-43m (No. 216)
Unique sites:
Cu (0.000, 0.000, 0.000) (multiplicity 4)
Ir (0.250, 0.250, 0.750) (multiplicity 4)
Ru (0.000, 0.000, 0.500) (multiplicity 4)
Rh (0.250, 0.250, 0.250) (multiplicity 4)

Results
Calculated formation energy = 329 meV/atom

=====

CuIrRhS4 | PBE-GGA | relaxed

Cell: 6.937 7.080 9.891 Å, 90.00 90.00 90.00°
Space group Imma (No. 74)
Unique sites:
Cu (0.000, 0.250, 0.129) (multiplicity 4)
Ir (0.000, 0.000, 0.500) (multiplicity 4)
Rh (0.250, 0.250, 0.750) (multiplicity 4)
S (0.000, 0.019, 0.740) (multiplicity 8)
S (0.229, 0.250, 0.509) (multiplicity 8)

Results
Formation energy from raw total energies = -274 kJ/mol of formula units

=====

CuSb2IrRh | PBE-GGA | relaxed

Cell: 4.820 4.820 4.575 Å, 90.00 90.00 90.00°
Space group P4/mmm (No. 123)
Unique sites:
Cu (0.000, 0.000, 0.000) (multiplicity 1)
Sb (0.000, 0.500, 0.000) (multiplicity 2)
Ir (0.000, 0.000, 0.500) (multiplicity 1)
Rh (0.500, 0.500, 0.500) (multiplicity 1)

Results
Formation energy from raw total energies = 511 kJ/mol of formula units

=====

CuSbIrRh | PBE-GGA | relaxed

Cell: 6.257 6.257 6.257 Å, 90.00 90.00 90.00°
Space group F-43m (No. 216)
Unique sites:
Cu (0.000, 0.000, 0.000) (multiplicity 4)
Sb (0.000, 0.000, 0.500) (multiplicity 4)
Ir (0.250, 0.250, 0.750) (multiplicity 4)
Rh (0.250, 0.250, 0.250) (multiplicity 4)

Results
Formation energy from raw total energies = -37 kJ/mol of formula units

=====

CuSnIrRh | PBE-GGA | relaxed

Cell: 6.243 6.243 6.243 Å, 90.00 90.00 90.00°
Space group F-43m (No. 216)
Unique sites:
Cu (0.000, 0.000, 0.000) (multiplicity 4)
Sn (0.000, 0.000, 0.500) (multiplicity 4)
Ir (0.250, 0.250, 0.750) (multiplicity 4)
Rh (0.250, 0.250, 0.250) (multiplicity 4)

Results
Calculated formation energy = -196 meV/atom

=====

CuSn2IrRh | PBE-GGA | relaxed

Cell: 5.046 5.046 4.808 Å, 90.00 90.00 90.00°
Space group P4/mmm (No. 123)
Unique sites:
Cu (0.000, 0.000, 0.000) (multiplicity 1)
Sn (0.000, 0.500, 0.500) (multiplicity 2)
Ir (0.500, 0.500, 0.000) (multiplicity 1)
Rh (0.500, 0.500, 0.500) (multiplicity 1)

Results
Calculated formation energy = 911 meV/atom

=====

TaCuIrRh | PBE-GGA | relaxed

Cell: 6.180 6.180 6.180 Å, 90.00 90.00 90.00°
Space group F-43m (No. 216)
Unique sites:
Ta (0.000, 0.000, 0.000) (multiplicity 4)
Cu (0.000, 0.000, 0.500) (multiplicity 4)
Ir (0.250, 0.250, 0.750) (multiplicity 4)
Rh (0.250, 0.250, 0.250) (multiplicity 4)

Results
Calculated formation energy = -435 meV/atom

=====

CuTcIrRh2 | PBE-GGA | relaxed

Cell: 4.765 4.765 4.645 Å, 90.00 90.00 90.00°
Space group P4/mmm (No. 123)
Unique sites:
Cu (0.000, 0.000, 0.000) (multiplicity 1)
Tc (0.500, 0.500, 0.000) (multiplicity 1)
Ir (0.500, 0.500, 0.500) (multiplicity 1)
Rh (0.000, 0.500, 0.500) (multiplicity 2)

Results
Calculated formation energy = 1628 meV/atom

=====

CuTeIr2Rh | PBE-GGA | relaxed

Cell: 4.549 4.549 4.531 Å, 90.00 90.00 90.00°
Space group P4/mmm (No. 123)
Unique sites:
Cu (0.000, 0.000, 0.000) (multiplicity 1)
Te (0.500, 0.500, 0.500) (multiplicity 1)
Ir (0.000, 0.500, 0.000) (multiplicity 2)
Rh (0.000, 0.000, 0.500) (multiplicity 1)

Results
Formation energy from raw total energies = 619 kJ/mol of formula units

=====

Cu2IrRu | PBE-GGA | relaxed

Cell: 2.7022 2.7022 25.4790 Å, 90.00 90.00 120.00°
Space group R3m (No. 160, hexagonal axes)
Unique sites:
Cu (0.0000, 0.0000, 0.0000) (multiplicity 3)
Cu (0.0000, 0.0000, 0.2545) (multiplicity 3)
Ir (0.0000, 0.0000, 0.7523) (multiplicity 3)
Ru (0.0000, 0.0000, 0.5027) (multiplicity 3)

Results
Calculated formation energy = 115 meV/atom
Energy above the lowest structure with this stoichiometry = 41 meV per atom

=====

CuIrRu4 | PBE-GGA | relaxed

Cell: 7.118 7.118 7.118 Å, 90.00 90.00 90.00°
Space group F-43m (No. 216)
Unique sites:
Cu (0.000, 0.000, 0.000) (multiplicity 4)
Ir (0.250, 0.250, 0.250) (multiplicity 4)
Ru (0.125, 0.125, 0.625) (multiplicity 16)

Results
Calculated formation energy = 702 meV/atom

=====

CuIr2Ru | PBE-GGA | relaxed

Cell: 2.702 4.647 9.134 Å, 90.00 90.00 90.00°
Space group Cmm2 (No. 35)
Unique sites:
Cu (0.000, 0.000, 0.000) (multiplicity 2)
Ir (0.000, 0.000, 0.497) (multiplicity 2)
Ir (0.000, 0.500, 0.755) (multiplicity 2)
Ru (0.000, 0.500, 0.246) (multiplicity 2)

Results
Calculated formation energy = 344 meV/atom
Energy above the lowest structure with this stoichiometry = 303 meV per atom

=====

In order of appearance, M_tot = 0.5620 0.0000 0.0000 0.0001 0.0000 0.0000 0.0000 0.4017 0.3175 0.0000 0.3715 0.1761 μB per atom.